Entry 1:
The following is a DFT calculation (PBE) of an optimized crystal structure of LiPrH6Ru.

Calculated values
The value obtained for the total magnetization is 0.00 μB per cell. As for the total energy: -4.45 eV per atom.

```
LiPrH6Ru
1.0
4.7537 0.0000 0.0000
-2.3769 4.1168 0.0000
0.0000 0.0000 4.3873
Li Pr H Ru
1 1 6 1
Cartesian
0.0000 0.0000 0.0000
2.3769 1.3723 1.9372
-0.0011 1.3562 1.4910
-1.2018 3.4397 1.4910
1.2294 2.0289 3.9460
2.3820 0.0502 3.9460
1.2029 3.4378 1.4910
3.5192 2.0377 3.9460
0.0000 2.7446 0.5011
```

***

Entry 2:
The following is a DFT calculation (PBE) of an optimized crystal structure of LiPr2TcH6.

Calculated values
The value obtained for the total magnetization is 0.00 μB per cell. As for the total energy: -4.57 eV per atom.

```
LiPr2TcH6
1.0
5.0506 0.0000 0.0000
-2.5253 4.3739 0.0000
0.0000 0.0000 5.1584
Li Pr Tc H
1 2 1 6
Cartesian
0.0000 0.0000 0.0000
0.0000 2.9159 1.3607
2.5253 1.4580 3.7976
0.0000 0.0000 2.5792
0.0000 1.4217 3.7279
-1.2940 3.6631 3.7279
1.2312 0.7109 1.4305
1.2940 3.6631 3.7279
3.8193 0.7109 1.4305
2.5253 2.9522 1.4305
```

***

Entry 3:
The following is a DFT calculation (PBE) of an optimized crystal structure of LiPr2TlH.

Calculated values
The value obtained for the total magnetization is 0.00 μB per cell. As for the total energy: -3.79 eV per atom.

```
LiPr2TlH
1.0
5.0990 0.0000 0.0000
0.0000 5.0990 0.0000
0.0000 0.0000 4.3757
Li Pr Tl H
1 2 1 1
Cartesian
0.0000 0.0000 0.0000
0.0000 2.5495 2.1879
2.5495 0.0000 2.1879
2.5495 2.5495 0.0000
0.0000 0.0000 2.1879
```

***

Entry 4:
The following is a DFT calculation (PBE) of an optimized crystal structure of LiH2Pt2.

Calculated values
The value obtained for the total magnetization is 0.00 μB per cell. As for the total energy: -4.30 eV per atom. The energy above the most stable polymorph in this dataset is 0.0 meV/atom.

```
LiH2Pt2
1.0
5.8747 0.0000 0.0000
0.0000 5.8747 0.0000
0.0000 0.0000 2.9231
Li H Pt
2 4 4
Cartesian
0.0000 0.0000 0.0000
2.9373 2.9373 0.0000
0.8543 2.0831 0.0000
2.0831 5.0204 0.0000
3.7916 0.8543 0.0000
5.0204 3.7916 0.0000
1.4080 4.3454 1.4615
1.5293 1.4080 1.4615
4.3454 4.4666 1.4615
4.4666 1.5293 1.4615
```

***

Entry 5:
The following is a DFT calculation (PBE) of an optimized crystal structure of Li12H5Pt3.

Calculated values
The value obtained for the total magnetization is 0.00 μB per cell. As for the total energy: -3.17 eV per atom.

```
Li12H5Pt3
1.0
-6.4181 6.4181 6.4181
6.4181 -6.4181 6.4181
6.4181 6.4181 -6.4181
Li H Pt
48 20 12
Cartesian
1.9226 -0.4220 0.6645
7.7046 3.8735 -3.6310
8.3408 0.4220 0.6645
7.7046 -2.5446 3.6310
5.9961 -0.6645 1.9226
10.0492 -1.2864 2.5446
0.6645 1.9226 -0.4220
8.9627 2.7871 -1.2864
3.8735 3.6310 -1.2864
5.7537 1.9226 0.4220
-0.4220 0.6645 1.9226
3.6310 -1.2864 3.8735
5.9961 5.7537 -1.9226
3.6310 1.2864 2.5446
3.8735 -3.6310 7.7046
5.7537 -1.9226 5.9961
2.5446 3.6310 1.2864
7.0826 4.4955 0.4220
3.6310 7.7046 -2.5446
5.9961 0.6645 4.4955
1.9226 5.9961 -0.6645
7.7046 2.5446 2.7871
1.2864 2.5446 3.6310
1.9226 0.4220 5.7537
4.4955 5.9961 0.6645
5.1317 3.8735 2.7871
-1.2864 3.8735 3.6310
4.4955 0.4220 7.0826
0.4220 5.7537 1.9226
2.7871 -1.2864 8.9627
-0.6645 1.9226 5.9961
3.8735 2.7871 5.1317
0.6645 8.3408 0.4220
2.5446 10.0492 -1.2864
2.7871 5.1317 3.8735
0.4220 0.6645 8.3408
2.7871 7.7046 2.5446
6.8401 5.7537 4.4955
0.6645 4.4955 5.9961
2.5446 2.7871 7.7046
-2.5446 3.6310 7.7046
5.7537 4.4955 6.8401
-3.6310 7.7046 3.8735
0.4220 7.0826 4.4955
-1.2864 8.9627 2.7871
-1.9226 5.9961 5.7537
-1.2864 2.5446 10.0492
4.4955 6.8401 5.7537
0.0000 0.0000 0.0000
3.2091 3.2091 -3.2091
3.2091 -3.2091 3.2091
6.4181 0.0000 0.0000
9.6272 1.6045 0.0000
6.4181 -3.2091 4.8136
4.8136 6.4181 -3.2091
4.8136 0.0000 3.2091
3.2091 4.8136 0.0000
6.4181 3.2091 1.6045
-3.2091 3.2091 3.2091
0.0000 6.4181 0.0000
0.0000 0.0000 6.4181
3.2091 3.2091 3.2091
0.0000 3.2091 4.8136
3.2091 1.6045 6.4181
1.6045 6.4181 3.2091
1.6045 0.0000 9.6272
0.0000 9.6272 1.6045
-3.2091 4.8136 6.4181
3.2091 1.6045 0.0000
6.4181 3.2091 -1.6045
1.6045 0.0000 3.2091
8.0227 0.0000 3.2091
0.0000 3.2091 1.6045
3.2091 -1.6045 6.4181
3.2091 8.0227 0.0000
6.4181 3.2091 4.8136
-1.6045 6.4181 3.2091
4.8136 6.4181 3.2091
0.0000 3.2091 8.0227
3.2091 4.8136 6.4181
```

***

Entry 6:
The following is a DFT calculation (PBE) of an optimized crystal structure of Li3H4Pt.

Calculated values
The value obtained for the total magnetization is 0.00 μB per cell. As for the total energy: -3.56 eV per atom. The energy above the most stable polymorph in this dataset is 0.0 meV/atom.

```
Li3H4Pt
1.0
3.9489 0.0000 0.0000
0.0000 7.6219 0.0000
0.0000 0.0000 4.3935
Li H Pt
6 8 2
Cartesian
0.9872 0.0288 1.0779
0.9872 3.7821 1.0779
0.9872 5.7164 3.3404
2.9617 1.9055 1.0531
2.9617 3.8398 3.3156
2.9617 7.5930 3.3156
0.9872 0.2123 3.3658
0.9872 1.9055 1.4406
0.9872 3.5986 3.3658
0.9872 5.7164 1.0971
2.9617 1.9055 3.2964
2.9617 4.0233 1.0277
2.9617 5.7164 2.9529
2.9617 7.4096 1.0277
0.9872 1.9055 3.2050
2.9617 5.7164 1.1885
```

***

Entry 7:
The following is a DFT calculation (PBE) of an optimized crystal structure of LiH7Pt2.

Calculated values
The value obtained for the total magnetization is 0.00 μB per cell. As for the total energy: -3.82 eV per atom.

```
LiH7Pt2
1.0
2.7805 -4.2476 0.0000
2.7805 4.2476 0.0000
0.0000 0.0000 3.6057
Li H Pt
1 7 2
Cartesian
0.0000 0.0000 0.0000
1.1299 1.1150 1.8029
2.7805 1.7177 0.0000
1.1299 -1.1150 1.8029
2.7805 0.0000 1.8029
4.4310 1.1150 1.8029
2.7805 -1.7177 0.0000
4.4310 -1.1150 1.8029
2.7805 1.7709 1.8029
2.7805 -1.7709 1.8029
```

***

Entry 8:
The following is a DFT calculation (PBE) of an optimized crystal structure of LiH2Pt.

Calculated values
The value obtained for the total magnetization is 0.00 μB per cell. As for the total energy: -3.94 eV per atom. The energy above the most stable polymorph in this dataset is 137.0 meV/atom.

```
LiH2Pt
1.0
-2.0706 2.0706 4.3879
2.0706 -2.0706 4.3879
2.0706 2.0706 -4.3879
Li H Pt
2 4 2
Cartesian
0.0000 0.0000 0.0000
0.0000 2.0706 2.1939
1.0353 -0.8740 3.2909
1.1966 1.0353 1.0970
1.0353 2.9446 -1.0970
0.8740 1.0353 5.4848
2.0706 0.0000 2.1939
0.0000 0.0000 4.3879
```

***

Entry 9:
The following is a DFT calculation (PBE) of an optimized crystal structure of LiH2Pt.

Calculated values
The value obtained for the total magnetization is 0.00 μB per cell. As for the total energy: -3.84 eV per atom. The energy above the most stable polymorph in this dataset is 239.3 meV/atom.

```
LiH2Pt
1.0
1.4962 0.8638 4.5004
-1.4962 0.8638 4.5004
0.0000 -1.7277 4.5004
Li H Pt
1 2 1
Cartesian
0.0000 0.0000 0.0000
0.0000 0.0000 3.1664
0.0000 0.0000 10.3349
0.0000 0.0000 6.7506
```

***

Entry 10:
The following is a DFT calculation (PBE) of an optimized crystal structure of LiH4Pt.

Calculated values
The value obtained for the total magnetization is 0.00 μB per cell. As for the total energy: -3.79 eV per atom. The energy above the most stable polymorph in this dataset is 17.3 meV/atom.

```
LiH4Pt
1.0
1.8269 -6.1125 0.0000
1.8269 6.1125 0.0000
0.0000 0.0000 4.5932
Li H Pt
2 8 2
Cartesian
1.8269 4.4720 3.4449
1.8269 -4.4720 1.1483
1.8269 4.8394 1.1483
1.8269 2.4437 2.3464
1.8269 2.4437 4.5434
1.8269 0.0000 0.0000
1.8269 0.0000 2.2966
1.8269 -2.4437 0.0498
1.8269 -2.4437 2.2468
1.8269 -4.8394 3.4449
1.8269 1.2645 3.4449
1.8269 -1.2645 1.1483
```

***

Entry 11:
The following is a DFT calculation (PBE) of an optimized crystal structure of Li2H5Pt2.

Calculated values
The value obtained for the total magnetization is 0.00 μB per cell. As for the total energy: -3.99 eV per atom.

```
Li2H5Pt2
1.0
7.3961 -2.3824 0.0000
7.3961 2.3824 0.0000
-1.5282 0.0000 4.5386
Li H Pt
4 10 4
Cartesian
1.7908 0.0000 0.5611
4.8697 0.0000 1.6115
8.3943 0.0000 2.9271
11.4732 0.0000 3.9775
3.6980 1.1912 0.0000
0.9989 0.0000 2.5634
6.7118 1.1872 1.0330
6.5522 1.1872 3.5056
4.2914 0.0000 3.7080
3.6980 -1.1912 0.0000
8.9726 0.0000 0.8306
6.7118 -1.1872 1.0330
6.5522 -1.1872 3.5056
12.2650 0.0000 1.9752
-0.7641 0.0000 2.2693
2.6088 0.0000 3.2366
7.3961 0.0000 0.0000
10.6552 0.0000 1.3020
```

***

Entry 12:
The following is a DFT calculation (PBE) of an optimized crystal structure of Li4H5Pt.

Calculated values
The value obtained for the total magnetization is 0.00 μB per cell. As for the total energy: -3.42 eV per atom.

```
Li4H5Pt
1.0
-3.1084 3.1084 2.1698
3.1084 -3.1084 2.1698
3.1084 3.1084 -2.1698
Li H Pt
4 5 1
Cartesian
4.4060 0.6533 0.0000
0.6533 1.8108 0.0000
2.4551 1.2976 2.1698
-1.2976 2.4551 2.1698
0.0000 0.0000 0.3535
2.6170 1.4023 0.0905
1.7061 -0.4914 2.2604
1.4023 3.5998 0.0905
0.4914 1.7061 2.2604
0.0000 0.0000 2.1227
```

***

Entry 13:
The following is a DFT calculation (PBE) of an optimized crystal structure of LiH8Pt2.

Calculated values
The value obtained for the total magnetization is 0.00 μB per cell. As for the total energy: -3.81 eV per atom.

```
LiH8Pt2
1.0
5.8957 -2.6605 0.0000
5.8957 2.6605 0.0000
-0.2306 0.0000 3.3394
Li H Pt
1 8 2
Cartesian
0.0000 0.0000 0.0000
4.1133 1.1590 0.0646
1.9766 0.0000 1.6162
7.4476 1.1590 3.2748
5.4099 0.0000 1.5970
6.1509 0.0000 1.7424
4.1133 -1.1590 0.0646
9.5843 0.0000 1.7231
7.4476 -1.1590 3.2748
2.2917 0.0000 3.3151
9.2691 0.0000 0.0243
```

***

Entry 14:
The following is a DFT calculation (PBE) of an optimized crystal structure of Li3H7Pt2.

Calculated values
The value obtained for the total magnetization is 0.00 μB per cell. As for the total energy: -3.78 eV per atom.

```
Li3H7Pt2
1.0
1.8134 -8.4038 0.0000
1.8134 8.4038 0.0000
0.0000 0.0000 3.5943
Li H Pt
3 7 2
Cartesian
0.0000 0.0000 0.0000
1.8134 5.5483 0.0000
1.8134 -5.5483 0.0000
1.8134 6.6726 1.7972
1.8134 3.4179 1.7972
1.8134 1.7200 0.0000
1.8134 0.0000 1.7972
1.8134 -1.7200 0.0000
1.8134 -3.4179 1.7972
1.8134 -6.6726 1.7972
1.8134 1.7588 1.7972
1.8134 -1.7588 1.7972
```

***

Entry 15:
The following is a DFT calculation (PBE) of an optimized crystal structure of LiH2Pt2.

Calculated values
The value obtained for the total magnetization is 0.00 μB per cell. As for the total energy: -4.26 eV per atom. The energy above the most stable polymorph in this dataset is 40.9 meV/atom.

```
LiH2Pt2
1.0
-1.5160 1.5160 5.2958
1.5160 -1.5160 5.2958
1.5160 1.5160 -5.2958
Li H Pt
1 2 2
Cartesian
0.0000 0.0000 0.0000
1.5160 0.0000 2.6479
0.0000 1.5160 2.6479
0.0000 0.0000 3.8342
0.0000 0.0000 6.7573
```

***

Entry 16:
The following is a DFT calculation (PBE) of an optimized crystal structure of Li5H12Pt3.

Calculated values
The value obtained for the total magnetization is 0.00 μB per cell. As for the total energy: -3.43 eV per atom.

```
Li5H12Pt3
1.0
-5.6733 5.6733 5.6733
5.6733 -5.6733 5.6733
5.6733 5.6733 -5.6733
Li H Pt
20 48 12
Cartesian
0.0000 0.0000 0.0000
2.8366 2.8366 -2.8366
2.8366 -2.8366 2.8366
5.6733 0.0000 0.0000
8.5099 1.4183 0.0000
5.6733 -2.8366 4.2549
4.2549 5.6733 -2.8366
4.2549 0.0000 2.8366
2.8366 4.2549 0.0000
5.6733 2.8366 1.4183
-2.8366 2.8366 2.8366
0.0000 5.6733 0.0000
0.0000 0.0000 5.6733
2.8366 2.8366 2.8366
0.0000 2.8366 4.2549
2.8366 1.4183 5.6733
1.4183 5.6733 2.8366
1.4183 0.0000 8.5099
0.0000 8.5099 1.4183
-2.8366 4.2549 5.6733
7.5670 -0.1245 0.5605
6.6162 -2.2761 2.7121
1.8937 0.1245 0.5605
6.6162 3.3972 -2.7121
5.7978 -0.5605 1.8937
8.3854 -0.9429 2.2761
3.3972 2.7121 -0.9429
5.1127 1.8937 -0.1245
0.5605 1.8937 0.1245
7.9494 2.9611 -0.9429
0.1245 0.5605 1.8937
2.7121 -0.9429 3.3972
5.7978 5.1127 -1.8937
2.7121 0.9429 2.2761
2.2761 2.7121 0.9429
6.2338 3.7795 -0.1245
3.3972 -2.7121 6.6162
5.1127 -1.8937 5.7978
2.7121 6.6162 -2.2761
5.7978 0.5605 3.7795
0.9429 2.2761 2.7121
1.8937 -0.1245 5.1127
1.8937 5.7978 -0.5605
6.6162 2.2761 2.9611
-0.9429 3.3972 2.7121
3.7795 -0.1245 6.2338
3.7795 5.7978 0.5605
4.7303 3.3972 2.9611
-0.1245 5.1127 1.8937
2.9611 -0.9429 7.9494
0.5605 7.5670 -0.1245
2.2761 8.3854 -0.9429
-0.5605 1.8937 5.7978
3.3972 2.9611 4.7303
2.9611 4.7303 3.3972
-0.1245 0.5605 7.5670
2.9611 6.6162 2.2761
5.5487 5.1127 3.7795
-2.2761 2.7121 6.6162
5.1127 3.7795 5.5487
0.5605 3.7795 5.7978
2.2761 2.9611 6.6162
-2.7121 6.6162 3.3972
-0.1245 6.2338 3.7795
-0.9429 2.2761 8.3854
3.7795 5.5487 5.1127
-0.9429 7.9494 2.9611
-1.8937 5.7978 5.1127
2.8366 1.4183 0.0000
5.6733 2.8366 -1.4183
1.4183 0.0000 2.8366
7.0916 0.0000 2.8366
0.0000 2.8366 1.4183
2.8366 -1.4183 5.6733
2.8366 7.0916 0.0000
5.6733 2.8366 4.2549
-1.4183 5.6733 2.8366
4.2549 5.6733 2.8366
0.0000 2.8366 7.0916
2.8366 4.2549 5.6733
```

***

Number 1: calculated volume 86 Å³/cell. Number 2: calculated volume 114 Å³/cell. Number 3: calculated volume 114 Å³/cell. Number 4: calculated volume 101 Å³/cell. Number 5: calculated volume 1058 Å³/cell. Number 6: calculated volume 132 Å³/cell. Number 7: calculated volume 85 Å³/cell. Number 8: calculated volume 75 Å³/cell. Number 9: calculated volume 35 Å³/cell. Number 10: calculated volume 103 Å³/cell. Number 11: calculated volume 160 Å³/cell. Number 12: calculated volume 84 Å³/cell. Number 13: calculated volume 105 Å³/cell. Number 14: calculated volume 110 Å³/cell. Number 15: calculated volume 49 Å³/cell. Number 16: calculated volume 730 Å³/cell.